# GGA-PBE ZrNbPPd2, optimized geometry
data_ZrNbPPd2
_space_group_name_H-M_alt 'P 4/m m m'
_space_group_IT_number 123
_space_group_name_Hall '-P 4 2'
_cell_length_a 4.7979
_cell_length_b 4.7979
_cell_length_c 4.8167
_cell_angle_alpha 90.00
_cell_angle_beta 90.00
_cell_angle_gamma 90.00
loop_
_atom_site_label
_atom_site_type_symbol
_atom_site_fract_x
_atom_site_fract_y
_atom_site_fract_z
_atom_site_occupancy
Zr1 Zr 0.0000 0.0000 0.0000 1
Nb1 Nb 0.5000 0.5000 0.5000 1
P1 P 0.0000 0.0000 0.5000 1
Pd1 Pd 0.0000 0.5000 0.0000 1
# N(E_F) = 1.2331 states/eV per atom
# E_tot = -6.05 eV/atom
# ΔH_f (0 K) = 0.8331 eV/atom